Entry from Alexandria via LeMat-Bulk: FePSeO2 after structural relaxation (PBE+U).

Structure (CIF):
```
data_FePSeO2
_cell_length_a 3.627
_cell_length_b 3.627
_cell_length_c 6.200
_cell_angle_alpha 90.00
_cell_angle_beta 90.00
_cell_angle_gamma 90.00
_space_group_name_H-M_alt 'P 4/m m m'
_space_group_IT_number 123
_space_group_name_Hall '-P 4 2'
loop_
_atom_site_label
_atom_site_type_symbol
_atom_site_fract_x
_atom_site_fract_y
_atom_site_fract_z
Fe1 Fe 0.000 0.000 0.000
P1 P 0.000 0.000 0.500
Se1 Se 0.500 0.500 0.500
O1 O 0.000 0.500 0.000
```

Calculated values
Its crystal system is tetragonal. The value obtained for the total energy is -5.00 eV per atom.